GdSnSe2 | GGA-PBE | relaxed Values from VASP.

Output
The crystal system is tetragonal. Its space group is No. 123. The calculation puts the calculated total energy at -4.960 eV/atom.

Cell and atoms, written as Quantum ESPRESSO input:
```
&SYSTEM
  ibrav = 0, nat = 4, ntyp = 3
/
ATOMIC_SPECIES
Gd 157.25 Gd.upf
Sn 118.71 Sn.upf
Se 78.96 Se.upf
ATOMIC_POSITIONS crystal
Gd 0.000 0.000 0.000
Sn 0.500 0.500 0.500
Se 0.000 0.000 0.500
Se 0.500 0.500 0.000
CELL_PARAMETERS angstrom
4.202 0.000 0.000
0.000 4.202 0.000
0.000 0.000 5.970
```

---

GdTlSnSe3 | GGA-PBE | relaxed Values from VASP.

Output
The crystal system is orthorhombic. Its space group is No. 63. The calculation puts the calculated total energy at -4.527 eV/atom.

Cell and atoms, written as Quantum ESPRESSO input:
```
&SYSTEM
  ibrav = 0, nat = 12, ntyp = 4
/
ATOMIC_SPECIES
Gd 157.25 Gd.upf
Tl 204.38 Tl.upf
Sn 118.71 Sn.upf
Se 78.96 Se.upf
ATOMIC_POSITIONS crystal
Gd 0.000 0.000 0.000
Gd 0.000 0.000 0.500
Tl 0.305 0.695 0.750
Tl 0.695 0.305 0.250
Sn 0.373 0.627 0.250
Sn 0.627 0.373 0.750
Se 0.007 0.993 0.750
Se 0.373 0.627 0.501
Se 0.373 0.627 0.999
Se 0.627 0.373 0.001
Se 0.627 0.373 0.499
Se 0.993 0.007 0.250
CELL_PARAMETERS angstrom
2.077 -7.849 0.000
2.077 7.849 0.000
0.000 0.000 11.635
```

---

SrGd2Se3 | GGA-PBE | relaxed Values from VASP.

Output
The crystal system is trigonal. Its space group is No. 164. The calculation puts the calculated total energy at -5.451 eV/atom.

Cell and atoms, written as Quantum ESPRESSO input:
```
&SYSTEM
  ibrav = 0, nat = 6, ntyp = 3
/
ATOMIC_SPECIES
Sr 87.62 Sr.upf
Gd 157.25 Gd.upf
Se 78.96 Se.upf
ATOMIC_POSITIONS crystal
Sr 0.000 0.000 0.000
Gd 0.333 0.667 0.649
Gd 0.667 0.333 0.351
Se 0.000 0.000 0.500
Se 0.333 0.667 0.183
Se 0.667 0.333 0.817
CELL_PARAMETERS angstrom
4.209 0.000 0.000
-2.104 3.645 0.000
0.000 0.000 10.339
```

---

SrGdZnSe3 | GGA-PBE | relaxed Values from VASP.

Output
The crystal system is orthorhombic. Its space group is No. 63. The calculation puts the calculated total energy at -4.404 eV/atom.

Cell and atoms, written as Quantum ESPRESSO input:
```
&SYSTEM
  ibrav = 0, nat = 12, ntyp = 4
/
ATOMIC_SPECIES
Sr 87.62 Sr.upf
Gd 157.25 Gd.upf
Zn 65.41 Zn.upf
Se 78.96 Se.upf
ATOMIC_POSITIONS crystal
Sr 0.243 0.757 0.750
Sr 0.757 0.243 0.250
Gd 0.000 0.000 0.000
Gd 0.000 0.000 0.500
Zn 0.476 0.524 0.250
Zn 0.524 0.476 0.750
Se 0.080 0.920 0.250
Se 0.359 0.641 0.072
Se 0.359 0.641 0.428
Se 0.641 0.359 0.572
Se 0.641 0.359 0.928
Se 0.920 0.080 0.750
CELL_PARAMETERS angstrom
2.098 -6.924 0.000
2.098 6.924 0.000
0.000 0.000 10.808
```

---

TbGd3Se | GGA-PBE | relaxed Values from VASP.

Output
The crystal system is cubic. Its space group is No. 221. The calculation puts the calculated total energy at -4.883 eV/atom.

Cell and atoms, written as Quantum ESPRESSO input:
```
&SYSTEM
  ibrav = 0, nat = 5, ntyp = 3
/
ATOMIC_SPECIES
Tb 158.93 Tb.upf
Gd 157.25 Gd.upf
Se 78.96 Se.upf
ATOMIC_POSITIONS crystal
Tb 0.000 0.000 0.000
Gd 0.000 0.500 0.500
Gd 0.500 0.000 0.500
Gd 0.500 0.500 0.000
Se 0.500 0.500 0.500
CELL_PARAMETERS angstrom
5.489 0.000 0.000
0.000 5.489 0.000
0.000 0.000 5.489
```

---

TbGd2Se3 | GGA-PBE | relaxed Values from VASP.

Output
The crystal system is trigonal. Its space group is No. 164. The calculation puts the calculated total energy at -5.852 eV/atom.

Cell and atoms, written as Quantum ESPRESSO input:
```
&SYSTEM
  ibrav = 0, nat = 6, ntyp = 3
/
ATOMIC_SPECIES
Tb 158.93 Tb.upf
Gd 157.25 Gd.upf
Se 78.96 Se.upf
ATOMIC_POSITIONS crystal
Tb 0.000 0.000 0.000
Gd 0.333 0.667 0.666
Gd 0.667 0.333 0.334
Se 0.000 0.000 0.500
Se 0.333 0.667 0.165
Se 0.667 0.333 0.835
CELL_PARAMETERS angstrom
4.088 0.000 0.000
-2.044 3.540 0.000
0.000 0.000 10.105
```

---

Gd3TeSe2 | GGA-PBE | relaxed Values from VASP.

Output
The crystal system is trigonal. Its space group is No. 164. The calculation puts the calculated total energy at -5.651 eV/atom.

Cell and atoms, written as Quantum ESPRESSO input:
```
&SYSTEM
  ibrav = 0, nat = 6, ntyp = 3
/
ATOMIC_SPECIES
Gd 157.25 Gd.upf
Te 127.60 Te.upf
Se 78.96 Se.upf
ATOMIC_POSITIONS crystal
Gd 0.000 0.000 0.000
Gd 0.333 0.667 0.308
Gd 0.667 0.333 0.692
Te 0.000 0.000 0.500
Se 0.333 0.667 0.843
Se 0.667 0.333 0.157
CELL_PARAMETERS angstrom
4.215 0.000 0.000
-2.107 3.650 0.000
0.000 0.000 10.253
```

---

Gd3Te2Se | GGA-PBE | relaxed Values from VASP.

Output
The crystal system is trigonal. Its space group is No. 164. The calculation puts the calculated total energy at -5.441 eV/atom.

Cell and atoms, written as Quantum ESPRESSO input:
```
&SYSTEM
  ibrav = 0, nat = 6, ntyp = 3
/
ATOMIC_SPECIES
Gd 157.25 Gd.upf
Te 127.60 Te.upf
Se 78.96 Se.upf
ATOMIC_POSITIONS crystal
Gd 0.000 0.000 0.000
Gd 0.333 0.667 0.357
Gd 0.667 0.333 0.643
Te 0.333 0.667 0.824
Te 0.667 0.333 0.176
Se 0.000 0.000 0.500
CELL_PARAMETERS angstrom
4.284 0.000 0.000
-2.142 3.710 0.000
0.000 0.000 10.617
```